(1)
## IrPbN3 (PBE-GGA)

Data for a relaxed IrPbN3 crystal.

Total energy   -0.4664 Ry per atom
SG   Pm-3m (221)
Raw formation energy   1.16 eV/atom

a = 3.959 Å, b = 3.959 Å, c = 3.959 Å
α = 90.00°, β = 90.00°, γ = 90.00°
Fractional coordinates of all 5 atoms:
Ir: 0.000 0.000 0.000
Pb: 0.500 0.500 0.500
N: 0.000 0.000 0.500
N: 0.000 0.500 0.000
N: 0.500 0.000 0.000


(2)
## HoZnIn (PBE-GGA)

Data for a relaxed HoZnIn crystal.

Formation enthalpy at 0 K   -0.3776 eV/atom
Total energy   -0.2382 Ry per atom
SG   F-43m (216)

a = 6.599 Å, b = 6.599 Å, c = 6.599 Å
α = 90.00°, β = 90.00°, γ = 90.00°
Fractional coordinates of all 12 atoms:
Ho: 0.000 0.000 0.000
Ho: 0.000 0.500 0.500
Ho: 0.500 0.000 0.500
Ho: 0.500 0.500 0.000
Zn: 0.250 0.250 0.250
Zn: 0.250 0.750 0.750
Zn: 0.750 0.250 0.750
Zn: 0.750 0.750 0.250
In: 0.000 0.000 0.500
In: 0.000 0.500 0.000
In: 0.500 0.000 0.000
In: 0.500 0.500 0.500